VASP calculation (PBE) on a relaxed structure of CaAc4Co2.

```
data_CaAc4Co2
_chemical_formula_sum 'Ca2 Ac8 Co4'
_space_group_name_H-M_alt 'C 1 2/m 1'
_space_group_IT_number 12
_space_group_name_Hall '-C 2y'
_cell_length_a 19.3665
_cell_length_b 4.2299
_cell_length_c 7.1820
_cell_angle_alpha 90.00
_cell_angle_beta 104.63
_cell_angle_gamma 90.00
loop_
_atom_site_label
_atom_site_type_symbol
_atom_site_fract_x
_atom_site_fract_y
_atom_site_fract_z
_atom_site_occupancy
Ca1 Ca 0.0000 0.0000 0.0000 1
Ac1 Ac 0.1617 0.0000 0.5264 1
Ac2 Ac 0.1723 0.5000 0.0335 1
Co1 Co 0.2476 0.5000 0.7400 1
```

Results
Magnetization = 0.00 μB/f.u.
DFT formation energy = 1.8 kcal/mol of atoms

***

VASP calculation (PBE) on a relaxed structure of K3Pu3ZrSe8.

```
data_K3Pu3ZrSe8
_chemical_formula_sum 'K9 Pu9 Zr3 Se24'
_space_group_name_H-M_alt 'R -3 m'
_space_group_IT_number 166
_space_group_name_Hall '-R 3 2"'
_cell_length_a 8.3430
_cell_length_b 8.3430
_cell_length_c 23.3794
_cell_angle_alpha 90.00
_cell_angle_beta 90.00
_cell_angle_gamma 120.00
loop_
_atom_site_label
_atom_site_type_symbol
_atom_site_fract_x
_atom_site_fract_y
_atom_site_fract_z
_atom_site_occupancy
K1 K 0.0000 0.5000 0.0000 1
Pu1 Pu 0.0000 0.5000 0.5000 1
Zr1 Zr 0.0000 0.0000 0.5000 1
Se1 Se 0.0000 0.0000 0.2350 1
Se2 Se 0.0166 0.5083 0.2322 1
```

Results
Formation energy without anion corrections = -21.69 eV per formula unit
Magnetization = 15.00 μB/f.u.

***

VASP calculation (PBE) on a relaxed structure of Te2SeIN.

```
data_Te2SeIN
_chemical_formula_sum 'Te2 Se1 I1 N1'
_space_group_name_H-M_alt 'P 4/m m m'
_space_group_IT_number 123
_space_group_name_Hall '-P 4 2'
_cell_length_a 4.9636
_cell_length_b 4.9636
_cell_length_c 4.7394
_cell_angle_alpha 90.00
_cell_angle_beta 90.00
_cell_angle_gamma 90.00
loop_
_atom_site_label
_atom_site_type_symbol
_atom_site_fract_x
_atom_site_fract_y
_atom_site_fract_z
_atom_site_occupancy
Te1 Te 0.0000 0.5000 0.0000 1
Se1 Se 0.0000 0.0000 0.5000 1
I1 I 0.5000 0.5000 0.5000 1
N1 N 0.5000 0.5000 0.0000 1
```

Results
Energy above the most stable polymorph in this dataset = 0.006 eV/atom
Formation energy without anion corrections = 4.84 eV per formula unit
Magnetization = 0.00 μB/f.u.

***

VASP calculation (PBE) on a relaxed structure of Lu12Pd3C5.

```
data_Lu12Pd3C5
_chemical_formula_sum 'Lu96 Pd24 C40'
_space_group_name_H-M_alt 'I a -3 d'
_space_group_IT_number 230
_space_group_name_Hall '-I 4bd 2c 3'
_cell_length_a 15.1586
_cell_length_b 15.1586
_cell_length_c 15.1586
_cell_angle_alpha 90.00
_cell_angle_beta 90.00
_cell_angle_gamma 90.00
loop_
_atom_site_label
_atom_site_type_symbol
_atom_site_fract_x
_atom_site_fract_y
_atom_site_fract_z
_atom_site_occupancy
Lu1 Lu 0.0304 0.0537 0.6503 1
Pd1 Pd 0.0000 0.2500 0.1250 1
C1 C 0.0000 0.0000 0.0000 1
C2 C 0.0000 0.2500 0.3750 1
```

Results
Magnetization = 0.00 μB/f.u.
DFT formation energy = -8.1 kcal/mol of atoms

***

VASP calculation (PBE) on a relaxed structure of LiZr2Sn2.

```
data_LiZr2Sn2
_chemical_formula_sum 'Li2 Zr4 Sn4'
_space_group_name_H-M_alt 'P 4/m b m'
_space_group_IT_number 127
_space_group_name_Hall '-P 4 2ab'
_cell_length_a 8.7118
_cell_length_b 8.7118
_cell_length_c 3.2022
_cell_angle_alpha 90.00
_cell_angle_beta 90.00
_cell_angle_gamma 90.00
loop_
_atom_site_label
_atom_site_type_symbol
_atom_site_fract_x
_atom_site_fract_y
_atom_site_fract_z
_atom_site_occupancy
Li1 Li 0.0000 0.0000 0.0000 1
Zr1 Zr 0.1229 0.3771 0.0000 1
Sn1 Sn 0.1735 0.6735 0.5000 1
```

Results
Energy above the most stable polymorph in this dataset = 0.105 eV/atom
Magnetization = 0.80 μB/f.u.
DFT formation energy = -5.6 kcal/mol of atoms

***

VASP calculation (PBE) on a relaxed structure of CsHg3Os.

```
data_CsHg3Os
_chemical_formula_sum 'Cs1 Hg3 Os1'
_space_group_name_H-M_alt 'P m -3 m'
_space_group_IT_number 221
_space_group_name_Hall '-P 4 2 3'
_cell_length_a 7.0112
_cell_length_b 7.0112
_cell_length_c 7.0112
_cell_angle_alpha 90.00
_cell_angle_beta 90.00
_cell_angle_gamma 90.00
loop_
_atom_site_label
_atom_site_type_symbol
_atom_site_fract_x
_atom_site_fract_y
_atom_site_fract_z
_atom_site_occupancy
Cs1 Cs 0.0000 0.0000 0.0000 1
Hg1 Hg 0.0000 0.0000 0.5000 1
Os1 Os 0.5000 0.5000 0.5000 1
```

Results
Energy above the most stable polymorph in this dataset = 1.300 eV/atom
Magnetization = 3.04 μB/f.u.
DFT formation energy = 36.6 kcal/mol of atoms